# La2Nd2Sn3, relaxed, DFT PBE
data_La2Nd2Sn3
_chemical_formula_sum 'La2 Nd2 Sn3'
_symmetry_space_group_name_H-M 'P -1'
_symmetry_Int_Tables_number 2
_cell_length_a 5.484
_cell_length_b 5.497
_cell_length_c 9.515
_cell_angle_alpha 73.32
_cell_angle_beta 73.31
_cell_angle_gamma 60.16
loop_
_symmetry_equiv_pos_as_xyz
'x,y,z'
'-x,-y,-z'
loop_
_atom_site_label
_atom_site_type_symbol
_atom_site_fract_x
_atom_site_fract_y
_atom_site_fract_z
_atom_site_occupancy
La1 La 0.127 0.126 0.121 1
Nd1 Nd 0.380 0.378 0.363 1
Sn1 Sn 0.260 0.262 0.718 1
Sn2 Sn 0.500 0.500 0.000 1
# **E**: -5.095 eV/atom
# **Total moment**: 0.0000 μB/atom
# **Energy of formation from the pure elements**: -0.61 eV/atom